Record 1
LiPrTmPt after structural relaxation, computed with PBE.

Cell: 7.154 7.154 7.154 Å, 90.00 90.00 90.00°
Element x y z (fractional)
Li 0.000 0.000 0.000
Li 0.000 0.500 0.500
Li 0.500 0.000 0.500
Li 0.500 0.500 0.000
Pr 0.250 0.250 0.250
Pr 0.250 0.750 0.750
Pr 0.750 0.250 0.750
Pr 0.750 0.750 0.250
Tm 0.250 0.250 0.750
Tm 0.250 0.750 0.250
Tm 0.750 0.250 0.250
Tm 0.750 0.750 0.750
Pt 0.000 0.000 0.500
Pt 0.000 0.500 0.000
Pt 0.500 0.000 0.000
Pt 0.500 0.500 0.500

## Properties
Its formation enthalpy at 0 K is -0.591 eV/atom. For the total magnetization, the calculation gives 0.000 μB/atom. Its space group is No. 216.

Record 2
K2GaCu after structural relaxation, computed with PBE.

Cell: 12.641 12.641 4.564 Å, 90.00 90.00 90.00°
Element x y z (fractional)
K 0.059 0.250 0.125
K 0.250 0.559 0.375
K 0.250 0.941 0.875
K 0.441 0.250 0.625
K 0.559 0.750 0.625
K 0.750 0.059 0.875
K 0.750 0.441 0.375
K 0.941 0.750 0.125
Ga 0.000 0.000 0.500
Ga 0.000 0.500 0.750
Ga 0.500 0.000 0.250
Ga 0.500 0.500 0.000
Cu 0.000 0.000 0.000
Cu 0.000 0.500 0.250
Cu 0.500 0.000 0.750
Cu 0.500 0.500 0.500

## Properties
Its formation enthalpy at 0 K is 0.141 eV/atom. For the total magnetization, the calculation gives 0.000 μB/atom. Its space group is No. 122.

Record 3
Tb6Er4Sc after structural relaxation, computed with PBE.

Cell: 5.532 5.532 25.433 Å, 90.00 90.00 118.88°
Element x y z (fractional)
Tb 0.000 0.000 0.000
Tb 0.000 0.000 0.500
Tb 0.023 0.977 0.750
Tb 0.311 0.689 0.106
Tb 0.311 0.689 0.394
Tb 0.357 0.643 0.683
Tb 0.357 0.643 0.817
Tb 0.643 0.357 0.183
Tb 0.643 0.357 0.317
Tb 0.689 0.311 0.606
Tb 0.689 0.311 0.894
Tb 0.977 0.023 0.250
Er 0.027 0.973 0.622
Er 0.027 0.973 0.878
Er 0.343 0.657 0.544
Er 0.343 0.657 0.956
Er 0.657 0.343 0.044
Er 0.657 0.343 0.456
Er 0.973 0.027 0.122
Er 0.973 0.027 0.378
Sc 0.311 0.689 0.250
Sc 0.689 0.311 0.750

## Properties
Its formation enthalpy at 0 K is 0.135 eV/atom. For the total magnetization, the calculation gives 0.000 μB/atom. Its space group is No. 63. As for the excess energy over the best structure of this formula in the dataset: 0.0 meV per atom.

Record 4
Pr4SmEr2Sc after structural relaxation, computed with PBE.

Cell: 5.865 5.881 7.642 Å, 90.00 90.00 90.00°
Element x y z (fractional)
Pr 0.000 0.000 0.237
Pr 0.000 0.000 0.763
Pr 0.500 0.500 0.238
Pr 0.500 0.500 0.762
Sm 0.000 0.500 0.500
Er 0.000 0.500 0.000
Er 0.500 0.000 0.500
Sc 0.500 0.000 0.000

## Properties
Its formation enthalpy at 0 K is 0.096 eV/atom. For the total magnetization, the calculation gives 0.000 μB/atom. Its space group is No. 47.

Record 5
La12CeY5 after structural relaxation, computed with PBE.

Cell: 11.042 11.042 6.395 Å, 106.63 106.63 59.59°
Element x y z (fractional)
La 0.003 0.668 0.169
La 0.163 0.503 0.667
La 0.166 0.834 0.000
La 0.327 0.673 0.500
La 0.332 0.997 0.831
La 0.497 0.837 0.333
La 0.503 0.163 0.667
La 0.668 0.003 0.169
La 0.673 0.327 0.500
La 0.834 0.166 0.000
La 0.837 0.497 0.333
La 0.997 0.332 0.831
Ce 0.000 0.000 0.500
Y 0.165 0.165 0.335
Y 0.333 0.333 0.169
Y 0.500 0.500 0.000
Y 0.667 0.667 0.831
Y 0.835 0.835 0.665

## Properties
Its formation enthalpy at 0 K is 0.030 eV/atom. For the total magnetization, the calculation gives 0.056 μB/atom. Its space group is No. 12.

Record 6
BePdNF2 after structural relaxation, computed with PBE.

Cell: 4.246 4.246 3.814 Å, 90.00 90.00 90.00°
Element x y z (fractional)
Be 0.000 0.000 0.000
Pd 0.500 0.500 0.500
N 0.500 0.500 0.000
F 0.000 0.500 0.500
F 0.500 0.000 0.500

## Properties
Its formation energy from raw total energies is 0.31 eV per atom. For the total magnetization, the calculation gives 0.000 μB/atom. Its space group is No. 123. As for the excess energy over the best structure of this formula in the dataset: 1307.7 meV per atom.

Record 7
CePa2S4 after structural relaxation, computed with PBE.

Cell: 6.742 6.742 12.996 Å, 90.00 90.00 146.91°
Element x y z (fractional)
Ce 0.117 0.883 0.750
Ce 0.883 0.117 0.250
Pa 0.363 0.637 0.562
Pa 0.363 0.637 0.938
Pa 0.637 0.363 0.062
Pa 0.637 0.363 0.438
S 0.000 0.000 0.000
S 0.000 0.000 0.500
S 0.270 0.730 0.131
S 0.270 0.730 0.369
S 0.454 0.546 0.750
S 0.546 0.454 0.250
S 0.730 0.270 0.631
S 0.730 0.270 0.869

## Properties
Its formation energy from raw total energies is -1.68 eV per atom. For the total magnetization, the calculation gives 0.227 μB/atom. Its space group is No. 63.

Record 8
Zn2Cr2I after structural relaxation, computed with PBE.

Cell: 3.701 3.701 15.084 Å, 90.00 90.00 90.00°
Element x y z (fractional)
Zn 0.000 0.500 0.250
Zn 0.000 0.500 0.750
Zn 0.500 0.000 0.250
Zn 0.500 0.000 0.750
Cr 0.000 0.000 0.115
Cr 0.000 0.000 0.885
Cr 0.500 0.500 0.385
Cr 0.500 0.500 0.615
I 0.000 0.000 0.500
I 0.500 0.500 0.000

## Properties
Its formation energy from raw total energies is 0.50 eV per atom. For the total magnetization, the calculation gives 1.778 μB/atom. Its space group is No. 139. As for the excess energy over the best structure of this formula in the dataset: 0.0 meV per atom.

Record 9
PmMgCuRh after structural relaxation, computed with PBE.

Cell: 6.760 6.760 6.760 Å, 90.00 90.00 90.00°
Element x y z (fractional)
Pm 0.000 0.000 0.000
Pm 0.000 0.500 0.500
Pm 0.500 0.000 0.500
Pm 0.500 0.500 0.000
Mg 0.000 0.000 0.500
Mg 0.000 0.500 0.000
Mg 0.500 0.000 0.000
Mg 0.500 0.500 0.500
Cu 0.250 0.250 0.750
Cu 0.250 0.750 0.250
Cu 0.750 0.250 0.250
Cu 0.750 0.750 0.750
Rh 0.250 0.250 0.250
Rh 0.250 0.750 0.750
Rh 0.750 0.250 0.750
Rh 0.750 0.750 0.250

## Properties
Its formation enthalpy at 0 K is -0.347 eV/atom. For the total magnetization, the calculation gives 0.000 μB/atom. Its space group is No. 216.

Record 10
LiY2PdO after structural relaxation, computed with PBE.

Cell: 4.784 4.784 3.865 Å, 90.00 90.00 90.00°
Element x y z (fractional)
Li 0.000 0.000 0.000
Y 0.000 0.500 0.500
Y 0.500 0.000 0.500
Pd 0.500 0.500 0.000
O 0.000 0.000 0.500

## Properties
Its formation energy from raw total energies is -1.50 eV per atom. For the total magnetization, the calculation gives 0.000 μB/atom. Its space group is No. 123.

Record 11
ScPt2I after structural relaxation, computed with PBE.

Cell: 6.812 6.812 6.812 Å, 90.00 90.00 90.00°
Element x y z (fractional)
Sc 0.000 0.000 0.000
Sc 0.000 0.500 0.500
Sc 0.500 0.000 0.500
Sc 0.500 0.500 0.000
Pt 0.250 0.250 0.250
Pt 0.250 0.250 0.750
Pt 0.250 0.750 0.250
Pt 0.250 0.750 0.750
Pt 0.750 0.250 0.250
Pt 0.750 0.250 0.750
Pt 0.750 0.750 0.250
Pt 0.750 0.750 0.750
I 0.000 0.000 0.500
I 0.000 0.500 0.000
I 0.500 0.000 0.000
I 0.500 0.500 0.500

## Properties
Its formation energy from raw total energies is -0.20 eV per atom. For the total magnetization, the calculation gives 0.000 μB/atom. Its space group is No. 225. As for the excess energy over the best structure of this formula in the dataset: 0.0 meV per atom.

Record 12
LiPa2As3 after structural relaxation, computed with PBE.

Cell: 4.083 5.704 12.291 Å, 90.00 90.00 90.00°
Element x y z (fractional)
Li 0.000 0.000 0.000
Li 0.500 0.500 0.500
Pa 0.000 0.000 0.336
Pa 0.000 0.000 0.664
Pa 0.500 0.500 0.164
Pa 0.500 0.500 0.836
As 0.000 0.500 0.000
As 0.000 0.500 0.331
As 0.000 0.500 0.669
As 0.500 0.000 0.169
As 0.500 0.000 0.500
As 0.500 0.000 0.831

## Properties
Its formation enthalpy at 0 K is -0.860 eV/atom. For the total magnetization, the calculation gives 0.000 μB/atom. Its space group is No. 71.

Record 13
Dy8CdAu2 after structural relaxation, computed with PBE.

Cell: 9.319 9.319 7.044 Å, 106.41 106.41 31.93°
Element x y z (fractional)
Dy 0.031 0.031 0.269
Dy 0.197 0.197 0.819
Dy 0.329 0.329 0.528
Dy 0.407 0.407 0.033
Dy 0.593 0.593 0.967
Dy 0.671 0.671 0.472
Dy 0.803 0.803 0.181
Dy 0.969 0.969 0.731
Cd 0.500 0.500 0.500
Au 0.185 0.185 0.217
Au 0.815 0.815 0.783

## Properties
Its formation enthalpy at 0 K is -0.361 eV/atom. For the total magnetization, the calculation gives 0.000 μB/atom. Its space group is No. 12.

Record 14
VCr2CoS after structural relaxation, computed with PBE.

Cell: 4.297 4.297 3.997 Å, 90.00 90.00 90.00°
Element x y z (fractional)
V 0.000 0.000 0.000
Cr 0.000 0.500 0.500
Cr 0.500 0.000 0.500
Co 0.500 0.500 0.500
S 0.500 0.500 0.000

## Properties
Its formation energy from raw total energies is 1.17 eV per atom. For the total magnetization, the calculation gives 0.498 μB/atom. Its space group is No. 123.

Record 15
AcMgPd3 after structural relaxation, computed with PBE.

Cell: 4.352 4.352 11.492 Å, 90.00 90.00 90.00°
Element x y z (fractional)
Ac 0.000 0.000 0.000
Ac 0.500 0.500 0.500
Mg 0.000 0.000 0.667
Mg 0.500 0.500 0.167
Pd 0.000 0.000 0.445
Pd 0.000 0.500 0.293
Pd 0.000 0.500 0.793
Pd 0.500 0.000 0.293
Pd 0.500 0.000 0.793
Pd 0.500 0.500 0.945

## Properties
Its formation enthalpy at 0 K is -0.636 eV/atom. For the total magnetization, the calculation gives 0.000 μB/atom. Its space group is No. 107.

Record 16
ErTmTcPd after structural relaxation, computed with PBE.

Cell: 6.830 6.830 6.830 Å, 90.00 90.00 90.00°
Element x y z (fractional)
Er 0.000 0.000 0.000
Er 0.000 0.500 0.500
Er 0.500 0.000 0.500
Er 0.500 0.500 0.000
Tm 0.000 0.000 0.500
Tm 0.000 0.500 0.000
Tm 0.500 0.000 0.000
Tm 0.500 0.500 0.500
Tc 0.250 0.250 0.250
Tc 0.250 0.750 0.750
Tc 0.750 0.250 0.750
Tc 0.750 0.750 0.250
Pd 0.250 0.250 0.750
Pd 0.250 0.750 0.250
Pd 0.750 0.250 0.250
Pd 0.750 0.750 0.750

## Properties
Its formation enthalpy at 0 K is -0.435 eV/atom. For the total magnetization, the calculation gives 0.000 μB/atom. Its space group is No. 216.

Record 17
MgC3 after structural relaxation, computed with PBE.

Cell: 3.079 6.592 4.628 Å, 90.00 90.00 90.00°
Element x y z (fractional)
Mg 0.000 0.000 0.000
Mg 0.500 0.500 0.000
C 0.000 0.000 0.500
C 0.000 0.500 0.347
C 0.000 0.500 0.653
C 0.500 0.000 0.347
C 0.500 0.000 0.653
C 0.500 0.500 0.500

## Properties
Its formation enthalpy at 0 K is 1.808 eV/atom. For the total magnetization, the calculation gives 0.000 μB/atom. Its space group is No. 65. As for the excess energy over the best structure of this formula in the dataset: 1143.7 meV per atom.

Record 18
CaIn6Ni after structural relaxation, computed with PBE.

Cell: 4.345 8.743 10.410 Å, 90.00 90.00 90.00°
Element x y z (fractional)
Ca 0.000 0.000 0.000
Ca 0.000 0.500 0.500
In 0.000 0.241 0.252
In 0.000 0.259 0.752
In 0.000 0.741 0.752
In 0.000 0.759 0.252
In 0.500 0.000 0.235
In 0.500 0.000 0.771
In 0.500 0.183 0.501
In 0.500 0.317 0.001
In 0.500 0.500 0.271
In 0.500 0.500 0.735
In 0.500 0.683 0.001
In 0.500 0.817 0.501
Ni 0.000 0.000 0.615
Ni 0.000 0.500 0.115

## Properties
Its formation enthalpy at 0 K is -0.095 eV/atom. For the total magnetization, the calculation gives 0.000 μB/atom. Its space group is No. 38.

Record 19
CaMo3 after structural relaxation, computed with PBE.

Cell: 4.185 4.185 4.185 Å, 90.00 90.00 90.00°
Element x y z (fractional)
Ca 0.000 0.000 0.000
Mo 0.000 0.500 0.500
Mo 0.500 0.000 0.500
Mo 0.500 0.500 0.000

## Properties
Its formation enthalpy at 0 K is 1.041 eV/atom. For the total magnetization, the calculation gives 0.000 μB/atom. Its space group is No. 221. As for the excess energy over the best structure of this formula in the dataset: 567.6 meV per atom.

Record 20
Co2Ni3Pd after structural relaxation, computed with PBE.

Cell: 7.793 7.793 8.337 Å, 120.72 120.72 19.05°
Element x y z (fractional)
Co 0.064 0.064 0.206
Co 0.275 0.275 0.644
Co 0.725 0.725 0.356
Co 0.936 0.936 0.794
Ni 0.054 0.054 0.673
Ni 0.281 0.281 0.164
Ni 0.388 0.388 0.512
Ni 0.612 0.612 0.488
Ni 0.719 0.719 0.836
Ni 0.946 0.946 0.327
Pd 0.392 0.392 0.012
Pd 0.608 0.608 0.988

## Properties
Its formation enthalpy at 0 K is 0.043 eV/atom. For the total magnetization, the calculation gives 0.970 μB/atom. Its space group is No. 12. As for the excess energy over the best structure of this formula in the dataset: 5.1 meV per atom.